Compound: Nd2Dy5Y2
Source: Alexandria
Functional: PBE
Structure: relaxed

Output
Raw total energy in eV/atom: -5.03
Space-group type: C2/m

a b c (Å): 8.006 8.006 8.005
angles (deg): 107.43 107.43 36.85
Element x y z (fractional)
Nd 0.112 0.112 0.168
Nd 0.888 0.888 0.832
Dy 0.000 0.000 0.500
Dy 0.221 0.221 0.831
Dy 0.333 0.333 0.500
Dy 0.667 0.667 0.500
Dy 0.779 0.779 0.169
Y 0.444 0.444 0.168
Y 0.556 0.556 0.832

=====

Compound: CsPm2Cl7
Source: Alexandria
Functional: PBE
Structure: relaxed

Output
Raw total energy in eV/atom: -4.58
Space-group type: Cmmm
Formation energy (no corrections) in meV/atom: -2254

a b c (Å): 8.296 8.296 5.478
angles (deg): 90.00 90.00 116.80
Element x y z (fractional)
Cs 0.000 0.000 0.000
Pm 0.304 0.696 0.500
Pm 0.696 0.304 0.500
Cl 0.047 0.329 0.500
Cl 0.293 0.707 0.000
Cl 0.329 0.047 0.500
Cl 0.500 0.500 0.500
Cl 0.671 0.953 0.500
Cl 0.707 0.293 0.000
Cl 0.953 0.671 0.500

=====

Compound: AlCr2As
Source: Alexandria
Functional: PBE
Structure: relaxed

Output
Raw total energy in eV/atom: -6.79
Space-group type: Pm

a b c (Å): 2.982 3.927 4.892
angles (deg): 90.00 103.46 90.00
Element x y z (fractional)
Al 0.000 0.000 0.000
Cr 0.214 0.000 0.544
Cr 0.464 0.500 0.761
As 0.725 0.500 0.313

=====

Compound: MnFeCu
Source: Alexandria
Functional: PBE
Structure: relaxed

Output
Raw total energy in eV/atom: -6.56
Space-group type: F-43m

a b c (Å): 3.996 3.996 3.996
angles (deg): 60.00 60.00 60.00
Element x y z (fractional)
Mn 0.000 0.000 0.000
Fe 0.500 0.500 0.500
Cu 0.750 0.750 0.750

=====

Compound: Na6MoAs4
Source: Alexandria
Functional: PBE
Structure: relaxed

Output
Raw total energy in eV/atom: -3.80
Space-group type: P6_3mc

a b c (Å): 9.441 9.441 7.341
angles (deg): 90.00 90.00 120.00
Element x y z (fractional)
Na 0.061 0.531 0.000
Na 0.149 0.298 0.320
Na 0.149 0.851 0.320
Na 0.298 0.149 0.820
Na 0.469 0.531 0.000
Na 0.469 0.939 0.000
Na 0.531 0.061 0.500
Na 0.531 0.469 0.500
Na 0.702 0.851 0.320
Na 0.851 0.149 0.820
Na 0.851 0.702 0.820
Na 0.939 0.469 0.500
Mo 0.333 0.667 0.615
Mo 0.667 0.333 0.115
As 0.193 0.385 0.717
As 0.193 0.807 0.717
As 0.333 0.667 0.285
As 0.385 0.193 0.217
As 0.615 0.807 0.717
As 0.667 0.333 0.785
As 0.807 0.193 0.217
As 0.807 0.615 0.217

=====

Compound: HgTeF4
Source: Alexandria
Functional: PBE
Structure: relaxed

Output
Raw total energy in eV/atom: -3.54
Space-group type: C2/c
Formation energy (no corrections) in meV/atom: -1716

a b c (Å): 8.902 8.902 7.511
angles (deg): 112.59 112.59 33.51
Element x y z (fractional)
Hg 0.000 0.500 0.000
Hg 0.500 0.000 0.500
Te 0.081 0.919 0.750
Te 0.919 0.081 0.250
F 0.072 0.787 0.465
F 0.213 0.928 0.035
F 0.264 0.590 0.779
F 0.410 0.736 0.721
F 0.590 0.264 0.279
F 0.736 0.410 0.221
F 0.787 0.072 0.965
F 0.928 0.213 0.535

=====

Compound: TaTeBr2
Source: Alexandria
Functional: PBE
Structure: relaxed

Output
Raw total energy in eV/atom: -3.82
Space-group type: Fm-3m
Formation energy (no corrections) in meV/atom: 762

a b c (Å): 4.997 4.997 4.997
angles (deg): 60.00 60.00 60.00
Element x y z (fractional)
Ta 0.000 0.000 0.000
Te 0.500 0.500 0.500
Br 0.250 0.250 0.250
Br 0.750 0.750 0.750

=====

Compound: Tb6PrHo3Th2
Source: Alexandria
Functional: PBE
Structure: relaxed

Output
Raw total energy in eV/atom: -5.06
Space-group type: C2/m

a b c (Å): 6.191 6.191 11.797
angles (deg): 95.03 95.03 119.94
Element x y z (fractional)
Tb 0.078 0.416 0.750
Tb 0.246 0.246 0.250
Tb 0.416 0.078 0.750
Tb 0.584 0.922 0.250
Tb 0.754 0.754 0.750
Tb 0.922 0.584 0.250
Pr 0.500 0.500 0.000
Ho 0.000 0.000 0.500
Ho 0.334 0.666 0.500
Ho 0.666 0.334 0.500
Th 0.167 0.833 0.000
Th 0.833 0.167 0.000